[1]
DFT (PBE) results for a geometry-optimized AcThSc2 structure.

Output
- Fermi-level density of states (states/eV/atom) = 0.9818
- crystal system = tetragonal
- ΔE to the lowest computed polymorph (kJ/mol of atoms) = 2.59
- calculated formation energy (meV per atom) = 95
- energy (eV/atom) = -5.953

Cell: 5.596 5.596 3.913 Å, 90.00 90.00 90.00°
Sites, in units of the cell vectors:
Ac1 0.000 0.000 0.000
Th1 0.500 0.500 0.000
Sc1 0.000 0.500 0.500
Sc2 0.500 0.000 0.500


[2]
DFT (PBE) results for a geometry-optimized Y5InGa2 structure.

Output
- Fermi-level density of states (states/eV/atom) = 0.8049
- crystal system = tetragonal
- calculated formation energy (meV per atom) = -519
- energy (eV/atom) = -5.658

Cell: 9.042 9.042 9.042 Å, 129.05 129.05 74.93°
Sites, in units of the cell vectors:
Y1 0.000 0.000 0.000
Y2 0.024 0.524 0.834
Y3 0.190 0.024 0.500
Y4 0.310 0.810 0.834
Y5 0.476 0.310 0.500
Y6 0.500 0.500 0.000
Y7 0.524 0.690 0.500
Y8 0.690 0.190 0.166
Y9 0.810 0.976 0.500
Y10 0.976 0.476 0.166
In1 0.250 0.250 0.000
In2 0.750 0.750 0.000
Ga1 0.124 0.376 0.500
Ga2 0.376 0.876 0.251
Ga3 0.624 0.124 0.749
Ga4 0.876 0.624 0.500


[3]
DFT (PBE) results for a geometry-optimized Sm4TeAu structure.

Output
- Fermi-level density of states (states/eV/atom) = 1.2483
- crystal system = monoclinic
- ΔE to the lowest computed polymorph (kJ/mol of atoms) = 7.74
- energy (eV/atom) = -4.869
- uncorrected formation energy (eV per atom) = -0.653

Cell: 6.990 6.730 7.969 Å, 90.00 91.99 90.00°
Sites, in units of the cell vectors:
Sm1 0.086 0.250 0.072
Sm2 0.097 0.750 0.377
Sm3 0.392 0.501 0.766
Sm4 0.392 0.999 0.766
Sm5 0.608 0.001 0.234
Sm6 0.608 0.499 0.234
Sm7 0.903 0.250 0.623
Sm8 0.914 0.750 0.928
Te1 0.286 0.250 0.431
Te2 0.714 0.750 0.569
Au1 0.311 0.750 0.063
Au2 0.689 0.250 0.937


[4]
DFT (PBE) results for a geometry-optimized YHo3Au4 structure.

Output
- Fermi-level density of states (states/eV/atom) = 0.3998
- crystal system = trigonal
- calculated formation energy (meV per atom) = -868
- energy (eV/atom) = -5.031

Cell: 8.821 8.821 8.821 Å, 33.41 33.41 33.41°
Sites, in units of the cell vectors:
Y1 0.000 0.000 0.000
Ho1 0.250 0.250 0.250
Ho2 0.500 0.500 0.500
Ho3 0.750 0.750 0.750
Au1 0.126 0.126 0.126
Au2 0.376 0.376 0.376
Au3 0.624 0.624 0.624
Au4 0.874 0.874 0.874


[5]
DFT (PBE) results for a geometry-optimized LiHoZn2Au4 structure.

Output
- Fermi-level density of states (states/eV/atom) = 0.3730
- crystal system = trigonal
- calculated formation energy (meV per atom) = -529
- energy (eV/atom) = -3.298

Cell: 8.494 8.494 8.494 Å, 30.95 30.95 30.95°
Sites, in units of the cell vectors:
Li1 0.000 0.000 0.000
Ho1 0.500 0.500 0.500
Zn1 0.255 0.255 0.255
Zn2 0.745 0.745 0.745
Au1 0.107 0.107 0.107
Au2 0.371 0.371 0.371
Au3 0.629 0.629 0.629
Au4 0.893 0.893 0.893


[6]
DFT (PBE) results for a geometry-optimized RbHg2SbPd structure.

Output
- Fermi-level density of states (states/eV/atom) = 0.6199
- crystal system = tetragonal
- energy (eV/atom) = -2.355
- uncorrected formation energy (eV per atom) = -0.178

Cell: 5.409 5.409 5.310 Å, 90.00 90.00 90.00°
Sites, in units of the cell vectors:
Rb1 0.000 0.000 0.000
Hg1 0.000 0.500 0.500
Hg2 0.500 0.000 0.500
Sb1 0.500 0.500 0.000
Pd1 0.500 0.500 0.500


[7]
DFT (PBE) results for a geometry-optimized KHSeN2 structure.

Output
- Fermi-level density of states (states/eV/atom) = 0.4408
- crystal system = tetragonal
- ΔE to the lowest computed polymorph (kJ/mol of atoms) = 0.00
- energy (eV/atom) = -3.220

Cell: 4.674 4.674 3.484 Å, 90.00 90.00 90.00°
Sites, in units of the cell vectors:
K1 0.000 0.000 0.000
H1 0.500 0.500 0.500
Se1 0.500 0.500 0.000
N1 0.000 0.500 0.500
N2 0.500 0.000 0.500


[8]
DFT (PBE) results for a geometry-optimized Pm8HIr3Br3 structure.

Output
- Fermi-level density of states (states/eV/atom) = 0.4015
- crystal system = trigonal
- energy (eV/atom) = -5.717

Cell: 8.865 8.865 8.865 Å, 55.13 55.13 55.13°
Sites, in units of the cell vectors:
Pm1 0.231 0.735 0.735
Pm2 0.234 0.234 0.234
Pm3 0.265 0.265 0.769
Pm4 0.265 0.769 0.265
Pm5 0.735 0.231 0.735
Pm6 0.735 0.735 0.231
Pm7 0.766 0.766 0.766
Pm8 0.769 0.265 0.265
H1 0.500 0.500 0.500
Ir1 0.000 0.000 0.500
Ir2 0.000 0.500 0.000
Ir3 0.500 0.000 0.000
Br1 0.000 0.500 0.500
Br2 0.500 0.000 0.500
Br3 0.500 0.500 0.000


[9]
DFT (PBE) results for a geometry-optimized Rb2Co2Rh structure.

Output
- Fermi-level density of states (states/eV/atom) = 1.9529
- crystal system = tetragonal
- ΔE to the lowest computed polymorph (kJ/mol of atoms) = 80.83
- calculated formation energy (meV per atom) = 1645
- energy (eV/atom) = -3.055

Cell: 7.729 7.729 7.729 Å, 149.01 149.01 44.39°
Sites, in units of the cell vectors:
Rb1 0.250 0.750 0.500
Rb2 0.750 0.250 0.500
Co1 0.070 0.070 0.000
Co2 0.930 0.930 0.000
Rh1 0.500 0.500 0.000


[10]
DFT (PBE) results for a geometry-optimized Rb2BaBIr structure.

Output
- Fermi-level density of states (states/eV/atom) = 0.6434
- crystal system = tetragonal
- ΔE to the lowest computed polymorph (kJ/mol of atoms) = 52.10
- calculated formation energy (meV per atom) = 1267
- energy (eV/atom) = -2.612

Cell: 6.432 6.432 5.660 Å, 90.00 90.00 90.00°
Sites, in units of the cell vectors:
Rb1 0.000 0.500 0.000
Rb2 0.500 0.000 0.000
Ba1 0.000 0.000 0.500
B1 0.500 0.500 0.500
Ir1 0.000 0.000 0.000


[11]
DFT (PBE) results for a geometry-optimized Ho3Ge4Mo2 structure.

Output
- Fermi-level density of states (states/eV/atom) = 0.4573
- crystal system = monoclinic
- calculated formation energy (meV per atom) = -545
- energy (eV/atom) = -6.530

Cell: 6.485 6.485 8.383 Å, 117.06 117.06 37.85°
Sites, in units of the cell vectors:
Ho1 0.000 0.000 0.000
Ho2 0.367 0.367 0.274
Ho3 0.633 0.633 0.726
Ge1 0.064 0.064 0.404
Ge2 0.319 0.319 0.906
Ge3 0.681 0.681 0.094
Ge4 0.936 0.936 0.596
Mo1 0.309 0.309 0.606
Mo2 0.691 0.691 0.394


[12]
DFT (PBE) results for a geometry-optimized LiHo4S4 structure.

Output
- Fermi-level density of states (states/eV/atom) = 0.3956
- crystal system = monoclinic
- energy (eV/atom) = -5.752
- uncorrected formation energy (eV per atom) = -1.670

Cell: 6.615 6.615 8.524 Å, 130.09 130.09 48.43°
Sites, in units of the cell vectors:
Li1 0.000 0.000 0.000
Ho1 0.201 0.201 0.601
Ho2 0.400 0.400 0.199
Ho3 0.600 0.600 0.801
Ho4 0.799 0.799 0.399
S1 0.095 0.095 0.802
S2 0.293 0.293 0.388
S3 0.707 0.707 0.612
S4 0.905 0.905 0.198


[13]
DFT (PBE) results for a geometry-optimized NdDy2HoTl4 structure.

Output
- Fermi-level density of states (states/eV/atom) = 0.8647
- crystal system = trigonal
- calculated formation energy (meV per atom) = -345
- energy (eV/atom) = -3.847

Cell: 9.381 9.381 9.381 Å, 33.46 33.46 33.46°
Sites, in units of the cell vectors:
Nd1 0.000 0.000 0.000
Dy1 0.249 0.249 0.249
Dy2 0.751 0.751 0.751
Ho1 0.500 0.500 0.500
Tl1 0.127 0.127 0.127
Tl2 0.377 0.377 0.377
Tl3 0.623 0.623 0.623
Tl4 0.873 0.873 0.873


[14]
DFT (PBE) results for a geometry-optimized Pm8GaRh2 structure.

Output
- Fermi-level density of states (states/eV/atom) = 1.0090
- crystal system = monoclinic
- ΔE to the lowest computed polymorph (kJ/mol of atoms) = 0.00
- calculated formation energy (meV per atom) = -378
- energy (eV/atom) = -5.445

Cell: 9.638 9.638 6.869 Å, 110.33 110.33 31.42°
Sites, in units of the cell vectors:
Pm1 0.030 0.030 0.286
Pm2 0.199 0.199 0.842
Pm3 0.322 0.322 0.492
Pm4 0.405 0.405 0.022
Pm5 0.595 0.595 0.978
Pm6 0.678 0.678 0.508
Pm7 0.801 0.801 0.158
Pm8 0.970 0.970 0.714
Ga1 0.500 0.500 0.500
Rh1 0.165 0.165 0.218
Rh2 0.835 0.835 0.782


[15]
DFT (PBE) results for a geometry-optimized CuTc2Sb structure.

Output
- Fermi-level density of states (states/eV/atom) = 0.6600
- crystal system = tetragonal
- energy (eV/atom) = -6.799
- uncorrected formation energy (eV per atom) = 0.439

Cell: 9.735 9.735 9.735 Å, 157.11 157.11 32.60°
Sites, in units of the cell vectors:
Cu1 0.000 0.000 0.000
Cu2 0.750 0.250 0.500
Tc1 0.056 0.625 0.931
Tc2 0.375 0.306 0.431
Tc3 0.694 0.125 0.069
Tc4 0.875 0.944 0.569
Sb1 0.250 0.750 0.500
Sb2 0.500 0.500 0.000


[16]
DFT (PBE) results for a geometry-optimized SiPHS2 structure.

Output
- Fermi-level density of states (states/eV/atom) = 0.5046
- crystal system = tetragonal
- ΔE to the lowest computed polymorph (kJ/mol of atoms) = 0.00
- energy (eV/atom) = -3.735

Cell: 4.631 4.631 3.209 Å, 90.00 90.00 90.00°
Sites, in units of the cell vectors:
Si1 0.000 0.000 0.000
P1 0.500 0.500 0.000
H1 0.500 0.500 0.500
S1 0.000 0.500 0.500
S2 0.500 0.000 0.500


[17]
DFT (PBE) results for a geometry-optimized ThSi2Ni5Pt structure.

Output
- Fermi-level density of states (states/eV/atom) = 0.3511
- crystal system = tetragonal
- energy (eV/atom) = -6.191
- uncorrected formation energy (eV per atom) = -0.278

Cell: 3.838 3.838 8.716 Å, 90.00 90.00 90.00°
Sites, in units of the cell vectors:
Th1 0.000 0.000 0.000
Si1 0.500 0.500 0.372
Si2 0.500 0.500 0.628
Ni1 0.000 0.500 0.236
Ni2 0.000 0.500 0.764
Ni3 0.500 0.000 0.236
Ni4 0.500 0.000 0.764
Ni5 0.500 0.500 0.000
Pt1 0.000 0.000 0.500


[18]
DFT (PBE) results for a geometry-optimized PrFeP structure.

Output
- Fermi-level density of states (states/eV/atom) = 0.4253
- crystal system = tetragonal
- calculated formation energy (meV per atom) = -937
- energy (eV/atom) = -7.154

Cell: 3.814 3.814 8.093 Å, 90.00 90.00 90.00°
Sites, in units of the cell vectors:
Pr1 0.250 0.250 0.200
Pr2 0.750 0.750 0.800
Fe1 0.250 0.750 0.500
Fe2 0.750 0.250 0.500
P1 0.250 0.250 0.642
P2 0.750 0.750 0.358


[19]
DFT (PBE) results for a geometry-optimized Nb2IrRu structure.

Output
- Fermi-level density of states (states/eV/atom) = 1.1209
- crystal system = tetragonal
- calculated formation energy (meV per atom) = -335
- energy (eV/atom) = -9.904

Cell: 4.149 4.149 3.750 Å, 90.00 90.00 90.00°
Sites, in units of the cell vectors:
Nb1 0.000 0.500 0.000
Nb2 0.500 0.000 0.000
Ir1 0.000 0.000 0.500
Ru1 0.500 0.500 0.500


[20]
DFT (PBE) results for a geometry-optimized Ho8Ge3Se3S structure.

Output
- Fermi-level density of states (states/eV/atom) = 0.4304
- crystal system = trigonal
- energy (eV/atom) = -5.677
- uncorrected formation energy (eV per atom) = -1.340

Cell: 8.104 8.104 8.104 Å, 60.24 60.24 60.24°
Sites, in units of the cell vectors:
Ho1 0.243 0.748 0.748
Ho2 0.247 0.247 0.247
Ho3 0.252 0.252 0.757
Ho4 0.252 0.757 0.252
Ho5 0.748 0.243 0.748
Ho6 0.748 0.748 0.243
Ho7 0.753 0.753 0.753
Ho8 0.757 0.252 0.252
Ge1 0.000 0.000 0.500
Ge2 0.000 0.500 0.000
Ge3 0.500 0.000 0.000
Se1 0.000 0.500 0.500
Se2 0.500 0.000 0.500
Se3 0.500 0.500 0.000
S1 0.500 0.500 0.500


[21]
DFT (PBE) results for a geometry-optimized Sm6SiTe12 structure.

Output
- Fermi-level density of states (states/eV/atom) = 0.6976
- crystal system = trigonal
- energy (eV/atom) = -4.796
- uncorrected formation energy (eV per atom) = -1.036

Cell: 8.795 8.795 8.795 Å, 99.00 99.00 99.00°
Sites, in units of the cell vectors:
Sm1 0.131 0.642 0.306
Sm2 0.306 0.131 0.642
Sm3 0.358 0.694 0.869
Sm4 0.642 0.306 0.131
Sm5 0.694 0.869 0.358
Sm6 0.869 0.358 0.694
Si1 0.000 0.000 0.000
Te1 0.015 0.683 0.953
Te2 0.047 0.985 0.317
Te3 0.184 0.432 0.570
Te4 0.317 0.047 0.985
Te5 0.430 0.816 0.568
Te6 0.432 0.570 0.184
Te7 0.568 0.430 0.816
Te8 0.570 0.184 0.432
Te9 0.683 0.953 0.015
Te10 0.816 0.568 0.430
Te11 0.953 0.015 0.683
Te12 0.985 0.317 0.047


[22]
DFT (PBE) results for a geometry-optimized Y3CdO structure.

Output
- Fermi-level density of states (states/eV/atom) = 0.8206
- crystal system = tetragonal
- ΔE to the lowest computed polymorph (kJ/mol of atoms) = 32.22
- energy (eV/atom) = -6.056
- uncorrected formation energy (eV per atom) = -1.003

Cell: 7.584 7.584 7.584 Å, 127.78 127.78 76.98°
Sites, in units of the cell vectors:
Y1 0.127 0.127 0.000
Y2 0.364 0.618 0.745
Y3 0.382 0.127 0.745
Y4 0.382 0.636 0.255
Y5 0.873 0.618 0.255
Y6 0.873 0.873 0.000
Cd1 0.625 0.125 0.500
Cd2 0.875 0.375 0.500
O1 0.250 0.750 0.500
O2 0.500 0.500 0.000


[23]
DFT (PBE) results for a geometry-optimized LiSi2Pt3 structure.

Output
- Fermi-level density of states (states/eV/atom) = 0.3096
- crystal system = monoclinic
- energy (eV/atom) = -5.849
- uncorrected formation energy (eV per atom) = -0.701

Cell: 8.213 8.213 9.618 Å, 106.37 106.37 27.84°
Sites, in units of the cell vectors:
Li1 0.000 0.000 0.000
Li2 0.162 0.162 0.717
Li3 0.838 0.838 0.283
Si1 0.187 0.187 0.123
Si2 0.362 0.362 0.551
Si3 0.455 0.455 0.210
Si4 0.545 0.545 0.790
Si5 0.638 0.638 0.449
Si6 0.813 0.813 0.877
Pt1 0.027 0.027 0.316
Pt2 0.218 0.218 0.390
Pt3 0.317 0.317 0.044
Pt4 0.390 0.390 0.814
Pt5 0.500 0.500 0.500
Pt6 0.610 0.610 0.186
Pt7 0.683 0.683 0.956
Pt8 0.782 0.782 0.610
Pt9 0.973 0.973 0.684